Material: AgMoRh2
Method: DFT, GGA-PBE
State: optimized geometry

Summary:
relative energy among the computed polymorphs: 0.000 eV/atom

Unit cell a=2.8047 b=2.8047 c=27.2765 alpha=90.00 beta=90.00 gamma=120.00
Closest atoms and distances in Å follow each position.
Space group R-3m (No. 166, hexagonal axes)
Asymmetric unit:
Ag: 0.0000 0.0000 0.0000 x3  6 Ag 2.80, 6 Rh 2.92
Mo: 0.0000 0.0000 0.5000 x3  6 Rh 2.66, 6 Mo 2.80
Rh: 0.0000 0.0000 0.2442 x6  3 Mo 2.66, 6 Rh 2.80, 3 Ag 2.92

***

Material: Ce4SiAsSe2
Method: DFT, GGA-PBE
State: optimized geometry

Summary:
electronic total energy: -52.21 eV per cell

Unit cell a=7.2884 b=4.2192 c=7.3075 alpha=90.00 beta=109.53 gamma=90.00
Closest atoms and distances in Å follow each position.
Space group P2/m (No. 10)
Asymmetric unit:
Ce: 0.2428 0.0000 0.2457 x2  2 Si 2.95, 1 As 2.96, 3 Se 3.00-3.01
Ce: 0.2436 0.5000 0.7499 x2  1 Si 2.94, 2 As 2.96, 3 Se 3.00-3.02
Si: 0.0000 0.5000 0.0000 x1  6 Ce 2.94-2.95
As: 0.0000 0.0000 0.5000 x1  6 Ce 2.96
Se: 0.5000 0.0000 0.0000 x1  6 Ce 3.00
Se: 0.5000 0.5000 0.5000 x1  6 Ce 3.01-3.02

***

Material: P2RuClF
Method: DFT, GGA-PBE
State: optimized geometry

Summary:
relative energy among the computed polymorphs: 0.677 eV/atom

Unit cell a=4.0311 b=4.0311 c=4.8712 alpha=90.00 beta=90.00 gamma=90.00
Closest atoms and distances in Å follow each position.
Space group P4/mmm (No. 123)
Asymmetric unit:
P: 0.0000 0.5000 0.0000 x2  2 F 2.02
Ru: 0.0000 0.0000 0.5000 x1  4 Cl 2.85, 8 P 3.16
Cl: 0.5000 0.5000 0.5000 x1  2 F 2.44
F: 0.5000 0.5000 0.0000 x1  4 P 2.02

***

Material: Dy3Sn
Method: DFT, GGA-PBE
State: optimized geometry

Summary:
electronic total energy: -38.75 eV per cell

Unit cell a=4.6879 b=4.6879 c=10.2321 alpha=90.00 beta=90.00 gamma=90.00
Closest atoms and distances in Å follow each position.
Space group I4/mmm (No. 139)
Asymmetric unit:
Dy: 0.0000 0.0000 0.0000 x2  4 Sn 3.31, 8 Dy 3.47
Dy: 0.0000 0.5000 0.2500 x4  8 Dy 3.31-3.47, 4 Sn 3.47
Sn: 0.0000 0.0000 0.5000 x2  12 Dy 3.31-3.47